GGA-PBE BeB2H8, relaxed; density of states at the Fermi level = 0.000 states/eV per atom; polymorph energy (0 for the lowest one) = 30 meV/atom; calculated volume = 172.8 Å³ per cell
1.0
5.488 -3.019 0.000
5.488 3.019 0.000
-3.611 0.000 5.216
Be B H
2 4 16
Cartesian
2.779 2.798 3.912
4.585 -2.798 1.304
2.957 1.716 2.269
6.214 1.716 0.339
1.151 -1.716 4.877
4.408 -1.716 2.947
3.464 2.132 1.220
-0.157 0.515 2.690
1.784 1.634 4.641
1.649 -0.515 0.082
2.494 0.634 2.042
5.706 2.132 1.388
3.775 1.634 3.183
0.689 -0.634 4.650
6.676 0.634 0.566
3.589 -1.634 2.033
1.658 -2.132 3.828
4.870 -0.634 3.174
5.715 0.515 5.133
5.581 -1.634 0.575
7.521 -0.515 2.526
3.901 -2.132 3.996